Record 1
Here is a relaxed structure of Sm2TiAlIr2 from Alexandria. Energies are from PBE-GGA.

Properties
volume: 126.04 Å³/f.u.
calculated total energy: -173.44 eV/cell
DFT formation energy: -760 meV per atom

Cell and atoms, written as CIF:
```
data_Sm2TiAlIr2
_chemical_formula_sum 'Sm8 Ti4 Al4 Ir8'
_cell_length_a 5.8684
_cell_length_b 13.7556
_cell_length_c 6.2455
_cell_angle_alpha 90.00
_cell_angle_beta 90.00
_cell_angle_gamma 90.00
_symmetry_space_group_name_H-M 'I b a m'
_symmetry_Int_Tables_number 72
_symmetry_space_group_name_Hall '-I 2 2c'
loop_
_atom_site_label
_atom_site_type_symbol
_atom_site_fract_x
_atom_site_fract_y
_atom_site_fract_z
Sm1 Sm 0.2468 0.1760 0.0000
Ti1 Ti 0.0000 0.5000 0.2500
Al1 Al 0.0000 0.0000 0.2500
Ir1 Ir 0.2436 0.3948 0.0000
```

***

Record 2
Here is a relaxed structure of CdSn3W from Alexandria. Energies are from PBE-GGA.

Properties
volume: 156.59 Å³/f.u.
offset from the most stable computed form: 1222 meV/atom
calculated total energy: -17.87 eV/cell
DFT formation energy: 1602 meV per atom

Cell and atoms, written as CIF:
```
data_CdSn3W
_chemical_formula_sum 'Cd1 Sn3 W1'
_cell_length_a 5.3900
_cell_length_b 5.3900
_cell_length_c 5.3900
_cell_angle_alpha 90.00
_cell_angle_beta 90.00
_cell_angle_gamma 90.00
_symmetry_space_group_name_H-M 'P m -3 m'
_symmetry_Int_Tables_number 221
_symmetry_space_group_name_Hall '-P 4 2 3'
loop_
_atom_site_label
_atom_site_type_symbol
_atom_site_fract_x
_atom_site_fract_y
_atom_site_fract_z
Cd1 Cd 0.0000 0.0000 0.0000
Sn1 Sn 0.0000 0.0000 0.5000
W1 W 0.5000 0.5000 0.5000
```

***

Record 3
Here is a relaxed structure of TlOsF2 from Alexandria. Energies are from PBE-GGA.

Properties
formation energy from raw total energies: 0.12 eV per atom
volume: 63.31 Å³/f.u.
offset from the most stable computed form: 857 meV/atom
calculated total energy: -67.41 eV/cell

Cell and atoms, written as CIF:
```
data_TlOsF2
_chemical_formula_sum 'Tl4 Os4 F8'
_cell_length_a 6.3266
_cell_length_b 6.3266
_cell_length_c 6.3266
_cell_angle_alpha 90.00
_cell_angle_beta 90.00
_cell_angle_gamma 90.00
_symmetry_space_group_name_H-M 'F m -3 m'
_symmetry_Int_Tables_number 225
_symmetry_space_group_name_Hall '-F 4 2 3'
loop_
_atom_site_label
_atom_site_type_symbol
_atom_site_fract_x
_atom_site_fract_y
_atom_site_fract_z
Tl1 Tl 0.0000 0.0000 0.0000
Os1 Os 0.0000 0.0000 0.5000
F1 F 0.2500 0.2500 0.2500
```

***

Record 4
Here is a relaxed structure of Tb2Pm2Sb3 from Alexandria. Energies are from PBE-GGA.

Properties
formation energy from raw total energies: -1.03 eV per atom
volume: 203.58 Å³/f.u.
offset from the most stable computed form: 0 meV/atom
calculated total energy: -153.41 eV/cell

Cell and atoms, written as CIF:
```
data_Tb2Pm2Sb3
_chemical_formula_sum 'Tb8 Pm8 Sb12'
_cell_length_a 9.3382
_cell_length_b 9.3382
_cell_length_c 9.3382
_cell_angle_alpha 90.00
_cell_angle_beta 90.00
_cell_angle_gamma 90.00
_symmetry_space_group_name_H-M 'I 21 3'
_symmetry_Int_Tables_number 199
_symmetry_space_group_name_Hall 'I 2b 2c 3'
loop_
_atom_site_label
_atom_site_type_symbol
_atom_site_fract_x
_atom_site_fract_y
_atom_site_fract_z
Tb1 Tb 0.0699 0.4301 0.5699
Pm1 Pm 0.1769 0.1769 0.1769
Sb1 Sb 0.0000 0.2500 0.8703
```